No. 1
Density functional theory data (PBE) for a relaxed structure of TbHo2RuN4.

a = 3.3796 Å, b = 11.5308 Å, c = 11.5776 Å
α = 90.00°, β = 90.00°, γ = 90.00°
With the nearest neighbours (Å) after each atom.
Space group Cmcm (No. 63)
Inequivalent atoms, fractional coordinates:
1 Tb 0.0000 0.1286 0.2500 x4  6 N 2.49-2.66
2 Ho 0.0000 0.3688 0.0420 x8  5 N 2.30-2.52
3 Ru 0.0000 0.1359 0.7500 x4  4 N 1.96-2.06
4 N 0.0000 0.0000 0.0000 x4  4 Ho 2.32
5 N 0.0000 0.2679 0.6298 x8  1 Ru 2.06, 1 Ho 2.30
6 N 0.0000 0.4510 0.2500 x4  2 Ru 1.96

Values from the calculation:
Raw formation energy in kJ per mole of atoms: -101



No. 2
Density functional theory data (PBE) for a relaxed structure of LiZn4Rh.

a = 7.0222 Å, b = 7.0222 Å, c = 7.0222 Å
α = 90.00°, β = 90.00°, γ = 90.00°
With the nearest neighbours (Å) after each atom.
Space group F-43m (No. 216)
Inequivalent atoms, fractional coordinates:
1 Li 0.0000 0.0000 0.0000 x4  12 Zn 2.91, 4 Rh 3.04
2 Zn 0.1247 0.1247 0.3753 x16  6 Zn 2.48-2.49
3 Rh 0.2500 0.2500 0.7500 x4  12 Zn 2.91, 4 Li 3.04

Values from the calculation:
Formation energy in meV/atom: -194



No. 3
Density functional theory data (PBE) for a relaxed structure of Ti2As3.

a = 6.0264 Å, b = 3.4632 Å, c = 9.7526 Å
α = 90.00°, β = 106.43°, γ = 90.00°
With the nearest neighbours (Å) after each atom.
Space group P2_1/m (No. 11)
Inequivalent atoms, fractional coordinates:
1 Ti 0.1032 0.2500 0.1505 x2  6 As 2.55-2.61
2 Ti 0.2510 0.2500 0.4965 x2  6 As 2.55-2.63
3 As 0.0109 0.2500 0.6808 x2  5 Ti 2.61-2.63
4 As 0.2991 0.7500 0.0262 x2  3 Ti 2.55-2.58
5 As 0.4855 0.7500 0.6697 x2  4 Ti 2.55-2.60

Values from the calculation:
Formation energy in meV/atom: -538



No. 4
Density functional theory data (PBE) for a relaxed structure of TcIrW2.

a = 3.9542 Å, b = 3.9542 Å, c = 7.8479 Å
α = 90.00°, β = 90.00°, γ = 90.00°
With the nearest neighbours (Å) after each atom.
Space group I4/mmm (No. 139)
Inequivalent atoms, fractional coordinates:
1 Tc 0.0000 0.0000 0.0000 x2  8 W 2.79, 4 Ir 2.80
2 Ir 0.0000 0.0000 0.5000 x2  8 W 2.79, 4 Tc 2.80
3 W 0.0000 0.5000 0.2500 x4  4 Tc 2.79, 4 Ir 2.79, 4 W 2.80

Values from the calculation:
Formation energy in meV/atom: -58



No. 5
Density functional theory data (PBE) for a relaxed structure of BeCdIr2.

a = 4.3325 Å, b = 4.3325 Å, c = 15.8805 Å
α = 90.00°, β = 90.00°, γ = 90.00°
With the nearest neighbours (Å) after each atom.
Space group I-42d (No. 122)
Inequivalent atoms, fractional coordinates:
1 Be 0.0000 0.0000 0.0000 x4  4 Ir 2.32
2 Cd 0.0000 0.0000 0.5000 x4  4 Ir 2.80, 4 Be 3.06
3 Ir 0.1180 0.2500 0.1250 x8  2 Be 2.32, 2 Ir 2.40

Values from the calculation:
Formation energy in meV/atom: 487



No. 6
Density functional theory data (PBE) for a relaxed structure of VSnPb3.

a = 5.7775 Å, b = 5.7775 Å, c = 5.7775 Å
α = 90.00°, β = 90.00°, γ = 90.00°
With the nearest neighbours (Å) after each atom.
Space group Pm-3m (No. 221)
Inequivalent atoms, fractional coordinates:
1 V 0.0000 0.0000 0.0000 x1  12 Pb 4.09
2 Sn 0.5000 0.5000 0.5000 x1  6 Pb 2.89
3 Pb 0.0000 0.5000 0.5000 x3  2 Sn 2.89

Values from the calculation:
Formation energy in meV/atom: 1132



No. 7
Density functional theory data (PBE) for a relaxed structure of BaReP2.

a = 3.2734 Å, b = 3.2734 Å, c = 7.4375 Å
α = 90.00°, β = 90.00°, γ = 90.00°
With the nearest neighbours (Å) after each atom.
Space group P4mm (No. 99)
Inequivalent atoms, fractional coordinates:
1 Ba 0.0000 0.0000 0.0000 x1  4 Ba 3.27, 5 P 3.28-3.60, 4 Re 3.59
2 Re 0.5000 0.5000 0.6313 x1  5 P 2.37-2.47
3 P 0.0000 0.0000 0.5153 x1  4 Re 2.47, 4 P 2.76
4 P 0.5000 0.5000 0.3128 x1  1 Re 2.37

Values from the calculation:
Formation energy in meV/atom: 131



no.,M_tot (μB per cell)
1,0.0
2,0.0
3,0.0
4,0.0
5,0.0
6,4.1
7,0.0